Na2LaZr after structural relaxation, computed with PBE-GGA.

a = 8.9873 Å, b = 8.9873 Å, c = 5.9976 Å
α = 90.00°, β = 90.00°, γ = 90.00°
With the nearest neighbours (Å) after each atom.
Space group I-42d (No. 122)
One atom of each set of equivalent atoms:
Na  0.2364  0.2500  0.1250  2 Na 3.01, 2 Zr 3.18, 2 La 3.35
La  0.0000  0.0000  0.5000  2 Zr 3.00, 4 Na 3.35
Zr  0.0000  0.0000  0.0000  2 La 3.00, 4 Na 3.18

Calculated values
E_form	0.715	eV/atom
E_tot	-3.3133	eV/atom
magnetization	0.00	μB/f.u.
offset from the most stable computed form	32.1	meV/atom
Fermi-level density of states	0.903	states/eV/atom

***

NaLaZr2 after structural relaxation, computed with PBE-GGA.

a = 7.5225 Å, b = 7.5225 Å, c = 7.5225 Å
α = 90.00°, β = 90.00°, γ = 90.00°
With the nearest neighbours (Å) after each atom.
Space group Fm-3m (No. 225)
One atom of each set of equivalent atoms:
Na  0.0000  0.0000  0.0000  8 Zr 3.26
La  0.0000  0.0000  0.5000  8 Zr 3.26
Zr  0.2500  0.2500  0.2500  4 Na 3.26, 4 La 3.26

Calculated values
E_form	0.680	eV/atom
E_tot	-5.1553	eV/atom
magnetization	0.00	μB/f.u.
offset from the most stable computed form	12.0	meV/atom
Fermi-level density of states	1.983	states/eV/atom

***

Na2LaZr after structural relaxation, computed with PBE-GGA.

a = 7.8528 Å, b = 7.8528 Å, c = 7.8528 Å
α = 90.00°, β = 90.00°, γ = 90.00°
With the nearest neighbours (Å) after each atom.
Space group Fm-3m (No. 225)
One atom of each set of equivalent atoms:
Na  0.2500  0.2500  0.2500  4 Zr 3.40, 4 La 3.40
La  0.0000  0.0000  0.0000  8 Na 3.40
Zr  0.0000  0.0000  0.5000  8 Na 3.40

Calculated values
E_form	0.683	eV/atom
E_tot	-3.3455	eV/atom
magnetization	1.82	μB/f.u.
offset from the most stable computed form	0.0	meV/atom
Fermi-level density of states	1.193	states/eV/atom

***

NaLa3Zr after structural relaxation, computed with PBE-GGA.

a = 5.8853 Å, b = 5.8853 Å, c = 5.8853 Å
α = 90.00°, β = 90.00°, γ = 90.00°
With the nearest neighbours (Å) after each atom.
Space group Pm-3m (No. 221)
One atom of each set of equivalent atoms:
Na  0.0000  0.0000  0.0000  12 La 4.16
La  0.0000  0.5000  0.5000  2 Zr 2.94
Zr  0.5000  0.5000  0.5000  6 La 2.94

Calculated values
E_form	0.422	eV/atom
E_tot	-4.5082	eV/atom
magnetization	0.00	μB/f.u.
Fermi-level density of states	1.017	states/eV/atom

***

LaNb2 after structural relaxation, computed with PBE-GGA.

a = 8.2189 Å, b = 8.2189 Å, c = 8.2189 Å
α = 90.00°, β = 90.00°, γ = 90.00°
With the nearest neighbours (Å) after each atom.
Space group Fd-3m (No. 227, origin choice 2)
One atom of each set of equivalent atoms:
La  0.1250  0.1250  0.1250  12 Nb 3.41, 4 La 3.56
Nb  0.0000  0.0000  0.5000  6 Nb 2.91

Calculated values
E_form	0.255	eV/atom
E_tot	-8.1011	eV/atom
magnetization	0.00	μB/f.u.
Fermi-level density of states	1.072	states/eV/atom

***

LaNb after structural relaxation, computed with PBE-GGA.

a = 3.2190 Å, b = 3.2228 Å, c = 10.6984 Å
α = 87.38°, β = 89.85°, γ = 65.90°
With the nearest neighbours (Å) after each atom.
Space group P-1 (No. 2)
One atom of each set of equivalent atoms:
La  0.1367  0.3212  0.3354  1 Nb 2.92, 4 La 3.22
Nb  0.2741  0.2365  0.9051  2 Nb 2.55-2.82

Calculated values
E_form	0.299	eV/atom
E_tot	-7.1994	eV/atom
magnetization	0.00	μB/f.u.
offset from the most stable computed form	87.8	meV/atom
Fermi-level density of states	1.320	states/eV/atom

***

LaNb after structural relaxation, computed with PBE-GGA.

a = 11.5941 Å, b = 11.5941 Å, c = 3.2952 Å
α = 90.00°, β = 90.00°, γ = 90.00°
With the nearest neighbours (Å) after each atom.
Space group I4/m (No. 87)
One atom of each set of equivalent atoms:
La  0.1244  0.1864  0.0000  2 Nb 3.03-3.28, 2 La 3.30
Nb  0.0562  0.6249  0.0000  4 Nb 2.78, 1 La 3.03

Calculated values
E_form	0.360	eV/atom
E_tot	-7.1387	eV/atom
magnetization	0.00	μB/f.u.
offset from the most stable computed form	148.5	meV/atom
Fermi-level density of states	1.462	states/eV/atom

***

LaNb after structural relaxation, computed with PBE-GGA.

a = 5.9375 Å, b = 9.7754 Å, c = 14.9249 Å
α = 90.00°, β = 90.00°, γ = 90.00°
With the nearest neighbours (Å) after each atom.
Space group Fddd (No. 70, origin choice 2)
One atom of each set of equivalent atoms:
La  0.1250  0.2908  0.1250  2 Nb 3.06, 3 La 3.24-3.39
Nb  0.1250  0.1250  0.5454  1 Nb 2.38

Calculated values
E_form	0.405	eV/atom
E_tot	-7.0941	eV/atom
magnetization	0.00	μB/f.u.
offset from the most stable computed form	193.0	meV/atom
Fermi-level density of states	1.273	states/eV/atom

***

LaNb after structural relaxation, computed with PBE-GGA.

a = 3.6746 Å, b = 5.3662 Å, c = 10.6275 Å
α = 90.00°, β = 90.00°, γ = 90.00°
With the nearest neighbours (Å) after each atom.
Space group Imma (No. 74)
One atom of each set of equivalent atoms:
La  0.0000  0.2500  0.1173  8 Nb 3.29-3.57, 6 La 3.37-3.67
Nb  0.0000  0.2500  0.6616  2 Nb 2.63

Calculated values
E_form	0.317	eV/atom
E_tot	-7.1816	eV/atom
magnetization	0.00	μB/f.u.
offset from the most stable computed form	105.5	meV/atom
Fermi-level density of states	1.234	states/eV/atom

***

LaNb after structural relaxation, computed with PBE-GGA.

a = 8.4193 Å, b = 8.4193 Å, c = 5.4871 Å
α = 90.00°, β = 90.00°, γ = 120.00°
With the nearest neighbours (Å) after each atom.
Space group P6_3/mmc (No. 194)
One atom of each set of equivalent atoms:
La  0.1692  0.3383  0.2500  2 Nb 2.97
Nb  0.1219  0.5609  0.7500  2 Nb 2.67, 2 La 2.97

Calculated values
E_form	0.357	eV/atom
E_tot	-7.1419	eV/atom
magnetization	0.00	μB/f.u.
offset from the most stable computed form	145.3	meV/atom
Fermi-level density of states	1.494	states/eV/atom

***

LaNb after structural relaxation, computed with PBE-GGA.

a = 14.0629 Å, b = 3.5165 Å, c = 6.6598 Å
α = 90.00°, β = 90.00°, γ = 90.00°
With the nearest neighbours (Å) after each atom.
Space group Pmn2_1 (No. 31)
One atom of each set of equivalent atoms:
La  0.0000  0.2382  0.0000  6 Nb 3.07-3.42
La  0.1999  0.7389  0.2409  3 Nb 3.22-3.25, 2 La 3.52
Nb  0.0000  0.2721  0.4863  4 Nb 2.68-2.71
Nb  0.1091  0.7647  0.6888  2 Nb 2.68-2.71

Calculated values
E_form	0.375	eV/atom
E_tot	-7.1241	eV/atom
magnetization	0.00	μB/f.u.
offset from the most stable computed form	163.0	meV/atom
Fermi-level density of states	1.538	states/eV/atom

***

LaNb after structural relaxation, computed with PBE-GGA.

a = 6.1797 Å, b = 6.1797 Å, c = 6.2213 Å
α = 90.00°, β = 90.00°, γ = 90.00°
With the nearest neighbours (Å) after each atom.
Space group P4_2/mnm (No. 136)
One atom of each set of equivalent atoms:
La  0.1811  0.1811  0.0000  4 Nb 3.04-3.13, 1 La 3.16
Nb  0.1401  0.1401  0.5000  1 Nb 2.45

Calculated values
E_form	0.902	eV/atom
E_tot	-6.5970	eV/atom
magnetization	0.25	μB/f.u.
offset from the most stable computed form	690.1	meV/atom
Fermi-level density of states	1.450	states/eV/atom

***

LaNb after structural relaxation, computed with PBE-GGA.

a = 6.2268 Å, b = 6.2268 Å, c = 6.2268 Å
α = 90.00°, β = 90.00°, γ = 90.00°
With the nearest neighbours (Å) after each atom.
Space group F-43m (No. 216)
One atom of each set of equivalent atoms:
La  0.0000  0.0000  0.0000  4 Nb 2.70
Nb  0.2500  0.2500  0.2500  4 La 2.70

Calculated values
E_form	2.050	eV/atom
E_tot	-5.4489	eV/atom
magnetization	1.79	μB/f.u.
offset from the most stable computed form	1838.2	meV/atom
Fermi-level density of states	1.477	states/eV/atom

***

LaNb after structural relaxation, computed with PBE-GGA.

a = 3.5330 Å, b = 10.1535 Å, c = 9.1830 Å
α = 90.00°, β = 90.00°, γ = 90.00°
With the nearest neighbours (Å) after each atom.
Space group Pmmn (No. 59, origin choice 2)
One atom of each set of equivalent atoms:
La  0.2500  0.0902  0.1164  3 Nb 3.19-3.24, 5 La 3.25-3.53
La  0.2500  0.7500  0.2828  6 Nb 3.24-3.51, 2 La 3.53
Nb  0.2500  0.2500  0.4219  4 Nb 2.86
Nb  0.2500  0.5299  0.6025  4 Nb 2.65-2.86

Calculated values
E_form	0.356	eV/atom
E_tot	-7.1430	eV/atom
magnetization	0.00	μB/f.u.
offset from the most stable computed form	144.1	meV/atom
Fermi-level density of states	1.563	states/eV/atom

***

LaNb after structural relaxation, computed with PBE-GGA.

a = 5.8646 Å, b = 7.6148 Å, c = 9.3774 Å
α = 90.00°, β = 90.00°, γ = 90.00°
With the nearest neighbours (Å) after each atom.
Space group P2_12_12_1 (No. 19)
One atom of each set of equivalent atoms:
La  0.1056  0.0956  0.0650  2 Nb 2.84-2.95
La  0.1083  0.2945  0.7541  3 Nb 2.87-3.19
Nb  0.0852  0.4794  0.1022  1 Nb 2.65, 2 La 2.87-2.95
Nb  0.1453  0.2776  0.4156  1 Nb 2.65, 1 La 2.84

Calculated values
E_form	0.414	eV/atom
E_tot	-7.0851	eV/atom
magnetization	0.00	μB/f.u.
offset from the most stable computed form	202.1	meV/atom
Fermi-level density of states	1.286	states/eV/atom

***

LaNb after structural relaxation, computed with PBE-GGA.

a = 3.5355 Å, b = 3.5355 Å, c = 8.4315 Å
α = 90.00°, β = 90.00°, γ = 90.00°
With the nearest neighbours (Å) after each atom.
Space group P4/nmm (No. 129, origin choice 2)
One atom of each set of equivalent atoms:
La  0.2500  0.2500  0.1706  5 Nb 3.29-3.42, 4 La 3.54
Nb  0.2500  0.2500  0.5764  4 Nb 2.81

Calculated values
E_form	0.211	eV/atom
E_tot	-7.2871	eV/atom
magnetization	0.00	μB/f.u.
offset from the most stable computed form	0.0	meV/atom
Fermi-level density of states	1.383	states/eV/atom

***

LaNb after structural relaxation, computed with PBE-GGA.

a = 7.6448 Å, b = 7.6448 Å, c = 7.6448 Å
α = 90.00°, β = 90.00°, γ = 90.00°
With the nearest neighbours (Å) after each atom.
Space group Pm-3n (No. 223)
One atom of each set of equivalent atoms:
La  0.0000  0.2500  0.5000  4 Nb 2.70
Nb  0.0000  0.5000  0.2500  4 La 2.70

Calculated values
E_form	2.317	eV/atom
E_tot	-5.1817	eV/atom
magnetization	0.00	μB/f.u.
offset from the most stable computed form	2105.4	meV/atom
Fermi-level density of states	2.122	states/eV/atom

***

LaNb after structural relaxation, computed with PBE-GGA.

a = 6.0628 Å, b = 6.0628 Å, c = 6.0628 Å
α = 90.00°, β = 90.00°, γ = 90.00°
With the nearest neighbours (Å) after each atom.
Space group Fm-3m (No. 225)
One atom of each set of equivalent atoms:
La  0.0000  0.0000  0.0000  6 Nb 3.03
Nb  0.0000  0.0000  0.5000  6 La 3.03

Calculated values
E_form	1.302	eV/atom
E_tot	-6.1963	eV/atom
magnetization	0.00	μB/f.u.
offset from the most stable computed form	1090.8	meV/atom
Fermi-level density of states	1.964	states/eV/atom

***

LaNb after structural relaxation, computed with PBE-GGA.

a = 8.9860 Å, b = 8.9860 Å, c = 8.9860 Å
α = 90.00°, β = 90.00°, γ = 90.00°
With the nearest neighbours (Å) after each atom.
Space group I-43m (No. 217)
One atom of each set of equivalent atoms:
La  0.2188  0.2188  0.7812  1 Nb 2.75
Nb  0.1044  0.1044  0.1044  3 Nb 2.65, 1 La 2.75

Calculated values
E_form	1.199	eV/atom
E_tot	-6.2994	eV/atom
magnetization	0.00	μB/f.u.
offset from the most stable computed form	987.7	meV/atom
Fermi-level density of states	2.075	states/eV/atom

***

LaNb after structural relaxation, computed with PBE-GGA.

a = 12.9730 Å, b = 12.9730 Å, c = 3.2364 Å
α = 90.00°, β = 90.00°, γ = 90.00°
With the nearest neighbours (Å) after each atom.
Space group I4/m (No. 87)
One atom of each set of equivalent atoms:
La  0.0417  0.3125  0.0000  2 Nb 2.95-3.11, 2 La 3.24
Nb  0.1719  0.7645  0.0000  2 Nb 2.62

Calculated values
E_form	0.839	eV/atom
E_tot	-6.6592	eV/atom
magnetization	0.00	μB/f.u.
offset from the most stable computed form	627.9	meV/atom
Fermi-level density of states	1.357	states/eV/atom